Record 1
Crystalline CrIn2Cl4 at its relaxed geometry. Source: Alexandria, functional GGA-PBE.

The density of states at the Fermi level comes out at 3.285 states/eV/f.u. As for the energy relative to the elements, uncorrected: -850 meV/atom. The total energy comes out at -56.9 eV for the cell shown.

Cell lengths 8.627, 11.368, 3.944 Å; angles 90.00, 90.00, 90.00 degrees
Fractional positions:
Cr (0.000, 0.000, 0.000)
Cr (0.500, 0.500, 0.000)
In (0.069, 0.328, 0.500)
In (0.431, 0.828, 0.500)
In (0.569, 0.172, 0.500)
In (0.931, 0.672, 0.500)
Cl (0.140, 0.818, 0.000)
Cl (0.166, 0.078, 0.500)
Cl (0.334, 0.578, 0.500)
Cl (0.360, 0.318, 0.000)
Cl (0.640, 0.682, 0.000)
Cl (0.666, 0.422, 0.500)
Cl (0.834, 0.922, 0.500)
Cl (0.860, 0.182, 0.000)

=====

Record 2
Crystalline SiPt2Rh at its relaxed geometry. Source: Alexandria, functional GGA-PBE.

The density of states at the Fermi level comes out at 3.529 states/eV/f.u. As for the energy relative to the elements, uncorrected: -306 meV/atom. The total energy comes out at -26.1 eV for the cell shown.

Cell lengths 2.902, 3.885, 5.409 Å; angles 90.00, 103.70, 90.00 degrees
Fractional positions:
Si (0.000, 0.000, 0.000)
Pt (0.372, 0.500, 0.233)
Pt (0.628, 0.500, 0.767)
Rh (0.000, 0.000, 0.500)

=====

Record 3
Crystalline DyHo2TmIn4 at its relaxed geometry. Source: Alexandria, functional GGA-PBE.

The density of states at the Fermi level comes out at 3.953 states/eV/f.u. The total energy comes out at -32.8 eV for the cell shown. The formation energy comes out at -0.448 eV per atom.

Cell lengths 9.179, 9.179, 9.179 Å; angles 33.48, 33.48, 33.48 degrees
Fractional positions:
Dy (0.000, 0.000, 0.000)
Ho (0.250, 0.250, 0.250)
Ho (0.750, 0.750, 0.750)
Tm (0.500, 0.500, 0.500)
In (0.126, 0.126, 0.126)
In (0.376, 0.376, 0.376)
In (0.624, 0.624, 0.624)
In (0.874, 0.874, 0.874)

=====

Record 4
Crystalline TaTc2BiRh at its relaxed geometry. Source: Alexandria, functional GGA-PBE.

The density of states at the Fermi level comes out at 6.980 states/eV/f.u. The total energy comes out at -37.1 eV for the cell shown. The formation energy comes out at 1.353 eV per atom.

Cell lengths 4.757, 4.757, 4.796 Å; angles 90.00, 90.00, 90.00 degrees
Fractional positions:
Ta (0.000, 0.000, 0.000)
Tc (0.000, 0.500, 0.500)
Tc (0.500, 0.000, 0.500)
Bi (0.500, 0.500, 0.000)
Rh (0.000, 0.000, 0.500)

=====

Record 5
Crystalline Tb3TeN at its relaxed geometry. Source: Alexandria, functional GGA-PBE.

The density of states at the Fermi level comes out at 3.836 states/eV/f.u. As for the energy relative to the elements, uncorrected: -1027 meV/atom. The total energy comes out at -61.0 eV for the cell shown.

Cell lengths 7.036, 3.977, 10.436 Å; angles 90.00, 96.98, 90.00 degrees
Fractional positions:
Tb (0.133, 0.250, 0.106)
Tb (0.186, 0.750, 0.453)
Tb (0.256, 0.250, 0.767)
Tb (0.744, 0.750, 0.233)
Tb (0.814, 0.250, 0.547)
Tb (0.867, 0.750, 0.894)
Te (0.457, 0.250, 0.333)
Te (0.543, 0.750, 0.667)
N (0.026, 0.250, 0.889)
N (0.974, 0.750, 0.111)

=====

Record 6
Crystalline La2NdAu6 at its relaxed geometry. Source: Alexandria, functional GGA-PBE.

The density of states at the Fermi level comes out at 8.361 states/eV/f.u. The total energy comes out at -41.4 eV for the cell shown. The formation energy comes out at -0.791 eV per atom.

Cell lengths 8.289, 8.289, 3.678 Å; angles 90.00, 90.00, 120.00 degrees
Fractional positions:
La (0.333, 0.667, 0.000)
La (0.667, 0.333, 0.000)
Nd (0.000, 0.000, 0.000)
Au (0.000, 0.333, 0.500)
Au (0.000, 0.667, 0.500)
Au (0.333, 0.000, 0.500)
Au (0.333, 0.333, 0.500)
Au (0.667, 0.000, 0.500)
Au (0.667, 0.667, 0.500)

=====

Record 7
Crystalline DyHo5ErIn2 at its relaxed geometry. Source: Alexandria, functional GGA-PBE.

The density of states at the Fermi level comes out at 12.448 states/eV/f.u. The total energy comes out at -74.9 eV for the cell shown. The formation energy comes out at 0.010 eV per atom.

Cell lengths 11.069, 11.069, 11.069 Å; angles 139.90, 139.90, 58.00 degrees
Fractional positions:
Dy (0.250, 0.250, 0.000)
Dy (0.750, 0.750, 0.000)
Ho (0.000, 0.000, 0.000)
Ho (0.077, 0.577, 0.902)
Ho (0.175, 0.077, 0.500)
Ho (0.325, 0.825, 0.902)
Ho (0.423, 0.325, 0.500)
Ho (0.500, 0.500, 0.000)
Ho (0.577, 0.675, 0.500)
Ho (0.675, 0.175, 0.098)
Ho (0.825, 0.923, 0.500)
Ho (0.923, 0.423, 0.098)
Er (0.250, 0.750, 0.500)
Er (0.750, 0.250, 0.500)
In (0.124, 0.376, 0.500)
In (0.376, 0.876, 0.252)
In (0.624, 0.124, 0.748)
In (0.876, 0.624, 0.500)

=====

Record 8
Crystalline Nd2DyHo7 at its relaxed geometry. Source: Alexandria, functional GGA-PBE.

The density of states at the Fermi level comes out at 15.344 states/eV/f.u. The total energy comes out at -38.7 eV for the cell shown. The formation energy comes out at 0.749 eV per atom.

Cell lengths 8.656, 8.656, 5.724 Å; angles 90.00, 90.00, 117.99 degrees
Fractional positions:
Nd (0.211, 0.789, 0.000)
Nd (0.789, 0.211, 0.000)
Dy (0.500, 0.500, 0.500)
Ho (0.000, 0.000, 0.000)
Ho (0.202, 0.429, 0.000)
Ho (0.216, 0.784, 0.500)
Ho (0.429, 0.202, 0.000)
Ho (0.571, 0.798, 0.000)
Ho (0.784, 0.216, 0.500)
Ho (0.798, 0.571, 0.000)

=====

Record 9
Crystalline Li2HfSnS4 at its relaxed geometry. Source: Alexandria, functional GGA-PBE.

The density of states at the Fermi level comes out at 0.679 states/eV/f.u. As for the energy relative to the elements, uncorrected: -1174 meV/atom. The total energy comes out at -43.7 eV for the cell shown.

Cell lengths 6.487, 3.772, 6.912 Å; angles 90.00, 110.60, 90.00 degrees
Fractional positions:
Li (0.000, 0.000, 0.000)
Li (0.000, 0.500, 0.500)
Hf (0.500, 0.000, 0.500)
Sn (0.500, 0.500, 0.000)
S (0.252, 0.000, 0.714)
S (0.259, 0.500, 0.268)
S (0.741, 0.500, 0.732)
S (0.748, 0.000, 0.286)

=====

Record 10
Crystalline Si5Hg4 at its relaxed geometry. Source: Alexandria, functional GGA-PBE.

The density of states at the Fermi level comes out at 3.668 states/eV/f.u. As for the energy relative to the elements, uncorrected: 611 meV/atom. The total energy comes out at -22.8 eV for the cell shown.

Cell lengths 7.339, 7.339, 7.339 Å; angles 93.61, 93.61, 150.95 degrees
Fractional positions:
Si (0.000, 0.000, 0.000)
Si (0.309, 0.309, 0.617)
Si (0.309, 0.691, 0.000)
Si (0.691, 0.309, 0.000)
Si (0.691, 0.691, 0.383)
Hg (0.000, 0.310, 0.310)
Hg (0.000, 0.690, 0.690)
Hg (0.310, 0.000, 0.310)
Hg (0.690, 0.000, 0.690)

=====

Record 11
Crystalline Dy4ScHg at its relaxed geometry. Source: Alexandria, functional GGA-PBE.

The density of states at the Fermi level comes out at 8.513 states/eV/f.u. The total energy comes out at -25.8 eV for the cell shown. The formation energy comes out at -0.128 eV per atom.

Cell lengths 3.532, 3.532, 13.679 Å; angles 90.00, 90.00, 90.00 degrees
Fractional positions:
Dy (0.000, 0.000, 0.149)
Dy (0.000, 0.000, 0.851)
Dy (0.500, 0.500, 0.333)
Dy (0.500, 0.500, 0.667)
Sc (0.000, 0.000, 0.500)
Hg (0.500, 0.500, 0.000)

=====

Record 12
Crystalline K2TeClF6 at its relaxed geometry. Source: Alexandria, functional GGA-PBE.

The density of states at the Fermi level comes out at 4.667 states/eV/f.u. As for the energy relative to the elements, uncorrected: -2167 meV/atom. The total energy comes out at -40.1 eV for the cell shown.

Cell lengths 5.169, 6.695, 7.193 Å; angles 70.79, 71.83, 72.52 degrees
Fractional positions:
K (0.141, 0.318, 0.320)
K (0.859, 0.682, 0.680)
Te (0.000, 0.000, 0.000)
Cl (0.500, 0.500, 0.500)
F (0.029, 0.941, 0.286)
F (0.059, 0.297, 0.945)
F (0.404, 0.878, 0.909)
F (0.596, 0.122, 0.091)
F (0.941, 0.703, 0.055)
F (0.971, 0.059, 0.714)

=====

Record 13
Crystalline Be2ZnSe at its relaxed geometry. Source: Alexandria, functional GGA-PBE.

The density of states at the Fermi level comes out at 1.271 states/eV/f.u. As for the energy relative to the elements, uncorrected: 412 meV/atom. The total energy comes out at -10.6 eV for the cell shown.

Cell lengths 3.307, 3.307, 4.997 Å; angles 90.00, 90.00, 90.00 degrees
Fractional positions:
Be (0.000, 0.000, 0.236)
Be (0.000, 0.000, 0.764)
Zn (0.500, 0.500, 0.000)
Se (0.500, 0.500, 0.500)

=====

Record 14
Crystalline TaAsRh2 at its relaxed geometry. Source: Alexandria, functional GGA-PBE.

The density of states at the Fermi level comes out at 1.085 states/eV/f.u. The total energy comes out at -122.7 eV for the cell shown. The formation energy comes out at 0.134 eV per atom.

Cell lengths 5.587, 5.587, 11.243 Å; angles 90.00, 90.00, 90.00 degrees
Fractional positions:
Ta (0.000, 0.000, 0.000)
Ta (0.000, 0.500, 0.250)
Ta (0.500, 0.000, 0.750)
Ta (0.500, 0.500, 0.500)
As (0.000, 0.000, 0.500)
As (0.000, 0.500, 0.750)
As (0.500, 0.000, 0.250)
As (0.500, 0.500, 0.000)
Rh (0.234, 0.250, 0.625)
Rh (0.250, 0.734, 0.875)
Rh (0.250, 0.766, 0.375)
Rh (0.266, 0.250, 0.125)
Rh (0.734, 0.750, 0.125)
Rh (0.750, 0.234, 0.375)
Rh (0.750, 0.266, 0.875)
Rh (0.766, 0.750, 0.625)

=====

Record 15
Crystalline Hf3AlGa at its relaxed geometry. Source: Alexandria, functional GGA-PBE.

The density of states at the Fermi level comes out at 3.512 states/eV/f.u. The total energy comes out at -34.3 eV for the cell shown. The formation energy comes out at 0.456 eV per atom.

Cell lengths 4.915, 4.915, 4.915 Å; angles 90.00, 90.00, 90.00 degrees
Fractional positions:
Hf (0.000, 0.000, 0.500)
Hf (0.000, 0.500, 0.000)
Hf (0.500, 0.000, 0.000)
Al (0.500, 0.500, 0.500)
Ga (0.000, 0.000, 0.000)

=====

Record 16
Crystalline Mn2ReSi at its relaxed geometry. Source: Alexandria, functional GGA-PBE.

The density of states at the Fermi level comes out at 4.230 states/eV/f.u. As for the energy relative to the elements, uncorrected: -94 meV/atom. The total energy comes out at -36.6 eV for the cell shown.

Cell lengths 2.721, 4.181, 4.402 Å; angles 90.00, 90.00, 90.00 degrees
Fractional positions:
Mn (0.000, 0.000, 0.000)
Mn (0.000, 0.500, 0.323)
Re (0.500, 0.500, 0.817)
Si (0.500, 0.000, 0.466)

=====

Record 17
Crystalline DyTlCuCl6 at its relaxed geometry. Source: Alexandria, functional GGA-PBE.

As for the energy relative to the elements, uncorrected: -1401 meV/atom. The total energy comes out at -34.8 eV for the cell shown.

Cell lengths 6.575, 6.575, 7.159 Å; angles 92.97, 92.97, 114.72 degrees
Fractional positions:
Dy (0.000, 0.000, 0.000)
Tl (0.673, 0.327, 0.500)
Cu (0.347, 0.653, 0.000)
Cl (0.044, 0.310, 0.254)
Cl (0.078, 0.684, 0.796)
Cl (0.314, 0.331, 0.829)
Cl (0.316, 0.922, 0.204)
Cl (0.669, 0.686, 0.171)
Cl (0.690, 0.956, 0.746)

=====

Record 18
Crystalline ZrSc4In5 at its relaxed geometry. Source: Alexandria, functional GGA-PBE.

The density of states at the Fermi level comes out at 7.338 states/eV/f.u. The total energy comes out at -51.7 eV for the cell shown. The formation energy comes out at -0.409 eV per atom.

Cell lengths 3.184, 3.184, 22.060 Å; angles 90.00, 90.00, 90.00 degrees
Fractional positions:
Zr (0.000, 0.000, 0.000)
Sc (0.000, 0.000, 0.199)
Sc (0.000, 0.000, 0.400)
Sc (0.000, 0.000, 0.600)
Sc (0.000, 0.000, 0.801)
In (0.500, 0.500, 0.100)
In (0.500, 0.500, 0.300)
In (0.500, 0.500, 0.500)
In (0.500, 0.500, 0.700)
In (0.500, 0.500, 0.900)

=====

Record 19
Crystalline B5C7 at its relaxed geometry. Source: Alexandria, functional GGA-PBE.

The density of states at the Fermi level comes out at 1.746 states/eV/f.u. The total energy comes out at -93.8 eV for the cell shown. The formation energy comes out at 0.349 eV per atom.

Cell lengths 5.693, 5.693, 4.032 Å; angles 90.18, 90.18, 36.92 degrees
Fractional positions:
B (0.000, 0.000, 0.000)
B (0.339, 0.322, 0.972)
B (0.666, 0.165, 0.306)
B (0.678, 0.661, 0.028)
B (0.835, 0.334, 0.694)
C (0.037, 0.475, 0.275)
C (0.162, 0.679, 0.729)
C (0.193, 0.148, 0.490)
C (0.321, 0.838, 0.271)
C (0.476, 0.524, 0.500)
C (0.525, 0.963, 0.725)
C (0.852, 0.807, 0.510)

=====

Record 20
Crystalline Rb2SiWI6 at its relaxed geometry. Source: Alexandria, functional GGA-PBE.

The density of states at the Fermi level comes out at 2.270 states/eV/f.u. As for the energy relative to the elements, uncorrected: -360 meV/atom. The total energy comes out at -33.2 eV for the cell shown.

Cell lengths 8.275, 8.275, 8.275 Å; angles 120.23, 120.23, 89.60 degrees
Fractional positions:
Rb (0.250, 0.750, 0.500)
Rb (0.750, 0.250, 0.500)
Si (0.000, 0.000, 0.000)
W (0.500, 0.500, 0.000)
I (0.255, 0.255, 0.511)
I (0.255, 0.745, 0.000)
I (0.256, 0.256, 0.000)
I (0.744, 0.744, 0.000)
I (0.745, 0.255, 0.000)
I (0.745, 0.745, 0.489)

=====

Record 21
Crystalline RbBaTl2 at its relaxed geometry. Source: Alexandria, functional GGA-PBE.

The density of states at the Fermi level comes out at 3.752 states/eV/f.u. The total energy comes out at -23.4 eV for the cell shown. The formation energy comes out at -0.041 eV per atom.

Cell lengths 4.213, 4.213, 34.599 Å; angles 90.00, 90.00, 120.00 degrees
Fractional positions:
Rb (0.000, 0.000, 0.000)
Rb (0.333, 0.667, 0.667)
Rb (0.667, 0.333, 0.333)
Ba (0.000, 0.000, 0.500)
Ba (0.333, 0.667, 0.167)
Ba (0.667, 0.333, 0.833)
Tl (0.000, 0.000, 0.246)
Tl (0.000, 0.000, 0.754)
Tl (0.333, 0.667, 0.421)
Tl (0.333, 0.667, 0.913)
Tl (0.667, 0.333, 0.087)
Tl (0.667, 0.333, 0.579)

=====

Record 22
Crystalline CeZnTc at its relaxed geometry. Source: Alexandria, functional GGA-PBE.

The density of states at the Fermi level comes out at 2.913 states/eV/f.u. The total energy comes out at -36.3 eV for the cell shown. The formation energy comes out at -0.184 eV per atom.

Cell lengths 4.539, 5.047, 5.871 Å; angles 89.43, 67.56, 74.95 degrees
Fractional positions:
Ce (0.222, 0.305, 0.180)
Ce (0.778, 0.695, 0.820)
Zn (0.474, 0.745, 0.410)
Zn (0.526, 0.255, 0.590)
Tc (0.028, 0.912, 0.211)
Tc (0.972, 0.088, 0.789)

=====

Record 23
Crystalline Mg2HIr at its relaxed geometry. Source: Alexandria, functional GGA-PBE.

The density of states at the Fermi level comes out at 1.056 states/eV/f.u. The total energy comes out at -60.8 eV for the cell shown.

Cell lengths 6.596, 6.596, 4.883 Å; angles 90.00, 90.00, 90.00 degrees
Fractional positions:
Mg (0.163, 0.250, 0.125)
Mg (0.250, 0.663, 0.375)
Mg (0.250, 0.837, 0.875)
Mg (0.337, 0.250, 0.625)
Mg (0.663, 0.750, 0.625)
Mg (0.750, 0.163, 0.875)
Mg (0.750, 0.337, 0.375)
Mg (0.837, 0.750, 0.125)
H (0.000, 0.000, 0.000)
H (0.000, 0.500, 0.250)
H (0.500, 0.000, 0.750)
H (0.500, 0.500, 0.500)
Ir (0.000, 0.000, 0.500)
Ir (0.000, 0.500, 0.750)
Ir (0.500, 0.000, 0.250)
Ir (0.500, 0.500, 0.000)

=====

Record 24
Crystalline Cr2Ir at its relaxed geometry. Source: Alexandria, functional GGA-PBE.

The density of states at the Fermi level comes out at 3.335 states/eV/f.u. The total energy comes out at -56.0 eV for the cell shown. The formation energy comes out at 0.042 eV per atom.

Cell lengths 4.203, 4.203, 5.162 Å; angles 90.00, 90.00, 120.00 degrees
Fractional positions:
Cr (0.000, 0.000, 0.000)
Cr (0.000, 0.000, 0.500)
Cr (0.333, 0.667, 0.250)
Cr (0.667, 0.333, 0.750)
Ir (0.333, 0.667, 0.750)
Ir (0.667, 0.333, 0.250)